VASP calculation (GGA-PBE) on a relaxed structure of Pm2SmCd6.

Geometry as POSCAR:
```
Pm2SmCd6
1.0
8.765 0.000 0.000
-4.382 7.590 0.000
0.000 0.000 3.447
Pm Sm Cd
2 1 6
direct
0.333 0.667 0.000 Pm
0.667 0.333 0.000 Pm
0.000 0.000 0.000 Sm
0.000 0.333 0.500 Cd
0.000 0.667 0.500 Cd
0.333 0.000 0.500 Cd
0.333 0.333 0.500 Cd
0.667 0.000 0.500 Cd
0.667 0.667 0.500 Cd
```

Results
Its total energy is -0.1860 Ry per atom. Its energy above the most stable polymorph in this dataset is 0 meV per atom.